VASP calculation (GGA+U) on crystalline Li2TiCr3O8 at its relaxed geometry.

Lattice parameters (Å, degrees): 5.9628 5.9628 14.4010 90.00 90.00 120.00
Space group R-3m (No. 166, hexagonal axes)
Asymmetric unit:
Li1 0.0000 0.0000 0.1255 x6
Ti1 0.0000 0.0000 0.5000 x3
Cr1 0.0000 0.5000 0.0000 x9
O1 0.0000 0.0000 0.2632 x6
O2 0.0342 0.5171 0.2531 x18

Output
As for the size of the total moment: 24.00 μB per cell. The value obtained for the energy above the most stable polymorph in this dataset is 7 meV/atom.